# 1
DFT (PBE) results for a relaxed Pm2AlTe crystal.

calculated total energy	-4.8087	eV/atom
DOS(E_F)	3.83	states/eV per cell

a = 3.7418 Å, b = 3.7418 Å, c = 7.9173 Å
α = 90.00°, β = 90.00°, γ = 90.00°
Closest atoms and distances in Å follow each position.
Sites, in units of the cell vectors:
Te 0.5000 0.5000 0.5000  8 Pm 3.32
Al 0.5000 0.5000 0.0000  8 Pm 3.29
Pm 0.0000 0.0000 0.7527  4 Al 3.29, 4 Te 3.32
Pm 0.0000 0.0000 0.2473  4 Al 3.29, 4 Te 3.32

# 2
DFT (PBE) results for a relaxed MgRu2 crystal.

calculated total energy	-6.6248	eV/atom
formation energy from the elements	0.091	eV/atom
DOS(E_F)	6.38	states/eV per cell

a = 5.1450 Å, b = 5.1450 Å, c = 6.8391 Å
α = 73.97°, β = 73.97°, γ = 31.63°
Closest atoms and distances in Å follow each position.
Sites, in units of the cell vectors:
Mg 0.6746 0.6746 0.3696  8 Ru 2.74-2.93, 4 Mg 2.80-2.98
Mg 0.3254 0.3254 0.6304  8 Ru 2.74-2.93, 4 Mg 2.80-2.98
Ru 0.0361 0.0361 0.7240  6 Ru 2.64-2.80, 5 Mg 2.74-2.80
Ru 0.6360 0.6360 0.9779  9 Ru 2.62-2.80, 3 Mg 2.81-2.93
Ru 0.3640 0.3640 0.0221  9 Ru 2.62-2.80, 3 Mg 2.81-2.93
Ru 0.9639 0.9639 0.2760  6 Ru 2.64-2.80, 5 Mg 2.74-2.80